(1)
Density functional theory data (GGA-PBE) for Ca2ScRu2 after structural relaxation.

Properties
V   223.49 Å³ per cell
ΔH_f (0 K)   61 meV per atom

CIF file:
```
data_Ca2ScRu2
_cell_length_a 6.802
_cell_length_b 6.802
_cell_length_c 4.830
_cell_angle_alpha 90.00
_cell_angle_beta 90.00
_cell_angle_gamma 90.00
_space_group_name_H-M_alt 'P 4/m b m'
_space_group_IT_number 127
_space_group_name_Hall '-P 4 2ab'
loop_
_atom_site_label
_atom_site_fract_x
_atom_site_fract_y
_atom_site_fract_z
Ca1 0.171 0.329 0.000
Sc1 0.000 0.000 0.500
Ru1 0.129 0.629 0.500
```


(2)
Density functional theory data (GGA-PBE) for CaScRu2 after structural relaxation.

Properties
V   219.63 Å³ per cell
ΔH_f (0 K)   130 meV per atom

CIF file:
```
data_CaScRu2
_cell_length_a 3.1531
_cell_length_b 3.1531
_cell_length_c 25.5095
_cell_angle_alpha 90.00
_cell_angle_beta 90.00
_cell_angle_gamma 120.00
_space_group_name_H-M_alt 'R -3 m'
_space_group_IT_number 166
_space_group_name_Hall '-R 3 2"'
loop_
_atom_site_label
_atom_site_fract_x
_atom_site_fract_y
_atom_site_fract_z
Ca1 0.0000 0.0000 0.0000
Sc1 0.0000 0.0000 0.5000
Ru1 0.0000 0.0000 0.2439
```


(3)
Density functional theory data (GGA-PBE) for CaScRu after structural relaxation.

Properties
V   63.97 Å³ per cell
ΔH_f (0 K)   42 meV per atom
Energy above the lowest structure with this stoichiometry   0.87 eV per formula unit

CIF file:
```
data_CaScRu
_cell_length_a 4.5879
_cell_length_b 4.5879
_cell_length_c 3.5090
_cell_angle_alpha 90.00
_cell_angle_beta 90.00
_cell_angle_gamma 120.00
_space_group_name_H-M_alt 'P 3 m 1'
_space_group_IT_number 156
loop_
_space_group_symop_operation_xyz
'x,y,z'
'-y,x-y,z'
'-x+y,-x,z'
'-y,-x,z'
'-x+y,y,z'
'x,x-y,z'
loop_
_atom_site_label
_atom_site_fract_x
_atom_site_fract_y
_atom_site_fract_z
Ca1 0.0000 0.0000 0.0000
Sc1 0.3333 0.6667 0.5436
Ru1 0.6667 0.3333 0.3860
```


(4)
Density functional theory data (GGA-PBE) for CaScRu2 after structural relaxation.

Properties
V   143.83 Å³ per cell
ΔH_f (0 K)   155 meV per atom

CIF file:
```
data_CaScRu2
_cell_length_a 3.285
_cell_length_b 5.058
_cell_length_c 8.657
_cell_angle_alpha 90.00
_cell_angle_beta 90.00
_cell_angle_gamma 90.00
_space_group_name_H-M_alt 'I m m m'
_space_group_IT_number 71
_space_group_name_Hall '-I 2 2'
loop_
_atom_site_label
_atom_site_fract_x
_atom_site_fract_y
_atom_site_fract_z
Ca1 0.000 0.000 0.000
Sc1 0.000 0.000 0.500
Ru1 0.000 0.500 0.239
```


(5)
Density functional theory data (GGA-PBE) for Ca2ScRu after structural relaxation.

Properties
V   232.28 Å³ per cell
ΔH_f (0 K)   15 meV per atom
Energy above the lowest structure with this stoichiometry   0.49 eV per formula unit

CIF file:
```
data_Ca2ScRu
_cell_length_a 7.671
_cell_length_b 4.412
_cell_length_c 7.318
_cell_angle_alpha 90.00
_cell_angle_beta 110.33
_cell_angle_gamma 90.00
_space_group_name_H-M_alt 'C 1 m 1'
_space_group_IT_number 8
loop_
_space_group_symop_operation_xyz
'x,y,z'
'x,-y,z'
'x+1/2,y+1/2,z'
'x+1/2,-y+1/2,z'
loop_
_atom_site_label
_atom_site_fract_x
_atom_site_fract_y
_atom_site_fract_z
Ca1 0.000 0.000 0.000
Ca2 0.195 0.000 0.587
Sc1 0.264 0.500 0.292
Ru1 0.430 0.000 0.290
```


(6)
Density functional theory data (GGA-PBE) for CaSc4Ru after structural relaxation.

Properties
V   566.32 Å³ per cell
ΔH_f (0 K)   499 meV per atom

CIF file:
```
data_CaSc4Ru
_cell_length_a 8.273
_cell_length_b 8.273
_cell_length_c 8.273
_cell_angle_alpha 90.00
_cell_angle_beta 90.00
_cell_angle_gamma 90.00
_space_group_name_H-M_alt 'F -4 3 m'
_space_group_IT_number 216
_space_group_name_Hall 'F -4 2 3'
loop_
_atom_site_label
_atom_site_fract_x
_atom_site_fract_y
_atom_site_fract_z
Ca1 0.000 0.000 0.000
Sc1 0.122 0.122 0.378
Ru1 0.250 0.250 0.750
```


(7)
Density functional theory data (GGA-PBE) for Ca2ScRu after structural relaxation.

Properties
V   106.05 Å³ per cell
ΔH_f (0 K)   -108 meV per atom
Energy above the lowest structure with this stoichiometry   0.00 eV per formula unit

CIF file:
```
data_Ca2ScRu
_cell_length_a 3.442
_cell_length_b 3.433
_cell_length_c 8.974
_cell_angle_alpha 90.00
_cell_angle_beta 90.21
_cell_angle_gamma 90.00
_space_group_name_H-M_alt 'P 1 m 1'
_space_group_IT_number 6
loop_
_space_group_symop_operation_xyz
'x,y,z'
'x,-y,z'
loop_
_atom_site_label
_atom_site_fract_x
_atom_site_fract_y
_atom_site_fract_z
Ca1 0.000 0.000 0.000
Ca2 0.497 0.500 0.355
Sc1 0.500 0.500 0.704
Ru1 0.999 0.000 0.571
```


(8)
Density functional theory data (GGA-PBE) for Ca2ScRu after structural relaxation.

Properties
V   188.54 Å³ per cell
ΔH_f (0 K)   422 meV per atom
Energy above the lowest structure with this stoichiometry   2.12 eV per formula unit

CIF file:
```
data_Ca2ScRu
_cell_length_a 5.874
_cell_length_b 10.189
_cell_length_c 3.318
_cell_angle_alpha 90.00
_cell_angle_beta 108.29
_cell_angle_gamma 90.00
_space_group_name_H-M_alt 'C 1 2/m 1'
_space_group_IT_number 12
loop_
_space_group_symop_operation_xyz
'x,y,z'
'-x,-y,-z'
'-x,y,-z'
'x,-y,z'
'x+1/2,y+1/2,z'
'-x+1/2,-y+1/2,-z'
'-x+1/2,y+1/2,-z'
'x+1/2,-y+1/2,z'
loop_
_atom_site_label
_atom_site_fract_x
_atom_site_fract_y
_atom_site_fract_z
Ca1 0.250 0.250 0.000
Sc1 0.000 0.000 0.500
Ru1 0.000 0.500 0.500
```


(9)
Density functional theory data (GGA-PBE) for Ca2ScRu after structural relaxation.

Properties
V   93.59 Å³ per cell
ΔH_f (0 K)   279 meV per atom
Energy above the lowest structure with this stoichiometry   1.55 eV per formula unit

CIF file:
```
data_Ca2ScRu
_cell_length_a 4.301
_cell_length_b 4.325
_cell_length_c 5.031
_cell_angle_alpha 90.00
_cell_angle_beta 90.00
_cell_angle_gamma 90.00
_space_group_name_H-M_alt 'P m m m'
_space_group_IT_number 47
loop_
_space_group_symop_operation_xyz
'x,y,z'
'-x,-y,-z'
'-x,-y,z'
'x,y,-z'
'x,-y,-z'
'-x,y,z'
'-x,y,-z'
'x,-y,z'
loop_
_atom_site_label
_atom_site_fract_x
_atom_site_fract_y
_atom_site_fract_z
Ca1 0.000 0.000 0.000
Ca2 0.500 0.500 0.000
Sc1 0.000 0.500 0.500
Ru1 0.500 0.000 0.500
```


(10)
Density functional theory data (GGA-PBE) for Ca2ScRu after structural relaxation.

Properties
V   308.42 Å³ per cell
ΔH_f (0 K)   393 meV per atom
Energy above the lowest structure with this stoichiometry   2.00 eV per formula unit

CIF file:
```
data_Ca2ScRu
_cell_length_a 3.3736
_cell_length_b 3.3736
_cell_length_c 31.2912
_cell_angle_alpha 90.00
_cell_angle_beta 90.00
_cell_angle_gamma 120.00
_space_group_name_H-M_alt 'R -3 m'
_space_group_IT_number 166
_space_group_name_Hall '-R 3 2"'
loop_
_atom_site_label
_atom_site_fract_x
_atom_site_fract_y
_atom_site_fract_z
Ca1 0.0000 0.0000 0.2332
Sc1 0.0000 0.0000 0.0000
Ru1 0.0000 0.0000 0.5000
```


(11)
Density functional theory data (GGA-PBE) for Ca2ScRu after structural relaxation.

Properties
V   380.66 Å³ per cell
ΔH_f (0 K)   387 meV per atom
Energy above the lowest structure with this stoichiometry   1.98 eV per formula unit

CIF file:
```
data_Ca2ScRu
_cell_length_a 7.247
_cell_length_b 7.247
_cell_length_c 7.247
_cell_angle_alpha 90.00
_cell_angle_beta 90.00
_cell_angle_gamma 90.00
_space_group_name_H-M_alt 'F m -3 m'
_space_group_IT_number 225
_space_group_name_Hall '-F 4 2 3'
loop_
_atom_site_label
_atom_site_fract_x
_atom_site_fract_y
_atom_site_fract_z
Ca1 0.250 0.250 0.250
Sc1 0.000 0.000 0.000
Ru1 0.000 0.000 0.500
```


(12)
Density functional theory data (GGA-PBE) for CaScRu2 after structural relaxation.

Properties
V   143.69 Å³ per cell
ΔH_f (0 K)   99 meV per atom

CIF file:
```
data_CaScRu2
_cell_length_a 3.303
_cell_length_b 4.989
_cell_length_c 8.720
_cell_angle_alpha 90.00
_cell_angle_beta 90.00
_cell_angle_gamma 90.00
_space_group_name_H-M_alt 'C m m m'
_space_group_IT_number 65
_space_group_name_Hall '-C 2 2'
loop_
_atom_site_label
_atom_site_fract_x
_atom_site_fract_y
_atom_site_fract_z
Ca1 0.000 0.000 0.000
Sc1 0.000 0.000 0.500
Ru1 0.000 0.500 0.267
```


| no. | total energy (eV per atom) |
| --- | --- |
| 1 | -5.716 |
| 2 | -6.591 |
| 3 | -5.827 |
| 4 | -6.566 |
| 5 | -4.887 |
| 6 | -5.602 |
| 7 | -5.011 |
| 8 | -4.480 |
| 9 | -4.624 |
| 10 | -4.509 |
| 11 | -4.516 |
| 12 | -6.622 |